Entry 1:
Pr5Y5Tm: relaxed, PBE-GGA.

Cell lengths 9.8888, 9.8888, 6.9998 Å; angles 107.91, 107.91, 36.11 degrees
Fractional coordinates of all 11 atoms:
Pr: 0.0000 0.0000 0.0000
Pr: 0.3270 0.3270 0.3099
Pr: 0.3738 0.3738 0.8551
Pr: 0.6262 0.6262 0.1449
Pr: 0.6730 0.6730 0.6901
Y: 0.1729 0.1729 0.4194
Y: 0.1767 0.1767 0.9134
Y: 0.5000 0.5000 0.5000
Y: 0.8233 0.8233 0.0866
Y: 0.8271 0.8271 0.5806
Tm: 0.0000 0.0000 0.5000

Values from the calculation:
Space group: No. 12
Total magnetization, μB/f.u.: 0.74
ΔE_f, eV/atom: 0.258

***

Entry 2:
Sn6Pd3Ru: relaxed, PBE-GGA.

Cell lengths 7.0253, 6.6684, 10.7259 Å; angles 90.00, 119.68, 90.00 degrees
Fractional coordinates of all 20 atoms:
Sn: 0.0955 0.0207 0.2760
Sn: 0.0955 0.4793 0.7760
Sn: 0.2584 0.1650 0.6022
Sn: 0.2584 0.3350 0.1022
Sn: 0.3982 0.6524 0.5706
Sn: 0.3982 0.8476 0.0706
Sn: 0.6018 0.1524 0.9294
Sn: 0.6018 0.3476 0.4294
Sn: 0.7416 0.6650 0.8978
Sn: 0.7416 0.8350 0.3978
Sn: 0.9045 0.5207 0.2240
Sn: 0.9045 0.9793 0.7240
Pd: 0.0000 0.0000 0.0000
Pd: 0.0000 0.5000 0.5000
Pd: 0.2986 0.6644 0.2777
Pd: 0.2986 0.8356 0.7777
Pd: 0.7014 0.1644 0.2223
Pd: 0.7014 0.3356 0.7223
Ru: 0.5000 0.0000 0.5000
Ru: 0.5000 0.5000 0.0000

Values from the calculation:
Space group: No. 14
Total magnetization, μB/f.u.: 0.00
ΔE_f, eV/atom: -0.267

***

Entry 3:
Pm6IrPt: relaxed, PBE-GGA.

Cell lengths 7.7068, 7.7068, 7.7068 Å; angles 52.63, 52.63, 52.63 degrees
Fractional coordinates of all 8 atoms:
Pm: 0.0791 0.7468 0.4271
Pm: 0.2532 0.5729 0.9209
Pm: 0.4271 0.0791 0.7468
Pm: 0.5729 0.9209 0.2532
Pm: 0.7468 0.4271 0.0791
Pm: 0.9209 0.2532 0.5729
Ir: 0.5000 0.5000 0.5000
Pt: 0.0000 0.0000 0.0000

Values from the calculation:
Space group: No. 148
Total magnetization, μB/f.u.: 0.00
ΔE_f, eV/atom: -0.436

***

Entry 4:
Re2S2F: relaxed, PBE-GGA.

Cell lengths 6.9639, 6.9639, 2.8653 Å; angles 90.00, 90.00, 90.00 degrees
Fractional coordinates of all 10 atoms:
Re: 0.1425 0.3575 0.0000
Re: 0.3575 0.8575 0.0000
Re: 0.6425 0.1425 0.0000
Re: 0.8575 0.6425 0.0000
S: 0.1447 0.6447 0.5000
S: 0.3553 0.1447 0.5000
S: 0.6447 0.8553 0.5000
S: 0.8553 0.3553 0.5000
F: 0.0000 0.0000 0.5000
F: 0.5000 0.5000 0.5000

Values from the calculation:
Excess energy over the best structure of this formula in the dataset, eV/atom: 0.4545
Space group: No. 127
Formation energy (no corrections), eV per atom: 0.302
Total magnetization, μB/f.u.: 0.00

***

Entry 5:
PuHg3Pd4: relaxed, PBE-GGA.

Cell lengths 4.4385, 4.4385, 8.3411 Å; angles 105.38, 105.38, 90.01 degrees
Fractional coordinates of all 8 atoms:
Pu: 0.0000 0.0000 0.0000
Hg: 0.2506 0.2506 0.5020
Hg: 0.5000 0.5000 0.0000
Hg: 0.7494 0.7494 0.4980
Pd: 0.1265 0.6262 0.2523
Pd: 0.3738 0.8735 0.7477
Pd: 0.6262 0.1265 0.2523
Pd: 0.8735 0.3738 0.7477

Values from the calculation:
Space group: No. 12
Total magnetization, μB/f.u.: 5.11
ΔE_f, eV/atom: -0.256

***

Entry 6:
MgBeTl: relaxed, PBE-GGA.

Cell lengths 3.3320, 3.3320, 6.3395 Å; angles 90.00, 90.00, 120.00 degrees
Fractional coordinates of all 3 atoms:
Mg: 0.0000 0.0000 0.0000
Be: 0.6667 0.3333 0.7053
Tl: 0.3333 0.6667 0.3996

Values from the calculation:
Excess energy over the best structure of this formula in the dataset, eV/atom: 0.2840
Space group: No. 156
Total magnetization, μB/f.u.: 0.00
ΔE_f, eV/atom: 0.458

***

Entry 7:
PaInFe: relaxed, PBE-GGA.

Cell lengths 6.3589, 6.3589, 6.3589 Å; angles 151.46, 151.46, 40.81 degrees
Fractional coordinates of all 3 atoms:
Pa: 0.0000 0.0000 0.0000
In: 0.7206 0.7206 0.0000
Fe: 0.3659 0.3659 0.0000

Values from the calculation:
Space group: No. 107
Total magnetization, μB/f.u.: 0.73
ΔE_f, eV/atom: -0.067

***

Entry 8:
TaRe2Pt: relaxed, PBE-GGA.

Cell lengths 3.9405, 3.9405, 4.0307 Å; angles 90.00, 90.00, 90.00 degrees
Fractional coordinates of all 4 atoms:
Ta: 0.0000 0.0000 0.0000
Re: 0.0000 0.5000 0.5000
Re: 0.5000 0.0000 0.5000
Pt: 0.5000 0.5000 0.0000

Values from the calculation:
Excess energy over the best structure of this formula in the dataset, eV/atom: 0.0000
Space group: No. 123
Total magnetization, μB/f.u.: 0.00
ΔE_f, eV/atom: -0.278